The following is a GGA-PBE calculation of SmAgTe3Pb after structural relaxation, from the Open Quantum Materials Database.

a = 12.5494 Å, b = 4.5611 Å, c = 12.8130 Å
α = 90.00°, β = 90.00°, γ = 90.00°
Atoms (fractional coordinates):
Sm (0.0249, 0.2500, 0.1895)
Sm (0.4751, 0.7500, 0.6895)
Sm (0.5249, 0.2500, 0.3105)
Sm (0.9751, 0.7500, 0.8105)
Ag (0.2364, 0.7500, 0.2943)
Ag (0.2636, 0.2500, 0.7943)
Ag (0.7364, 0.7500, 0.2057)
Ag (0.7636, 0.2500, 0.7057)
Te (0.0284, 0.7500, 0.3674)
Te (0.0945, 0.2500, 0.9392)
Te (0.2174, 0.7500, 0.6743)
Te (0.2826, 0.2500, 0.1743)
Te (0.4055, 0.7500, 0.4392)
Te (0.4716, 0.2500, 0.8674)
Te (0.5284, 0.7500, 0.1326)
Te (0.5945, 0.2500, 0.5608)
Te (0.7174, 0.7500, 0.8257)
Te (0.7826, 0.2500, 0.3257)
Te (0.9055, 0.7500, 0.0608)
Te (0.9716, 0.2500, 0.6326)
Pb (0.1911, 0.2500, 0.4828)
Pb (0.3089, 0.7500, 0.9828)
Pb (0.6911, 0.2500, 0.0172)
Pb (0.8089, 0.7500, 0.5172)

Its polymorph energy (0 for the lowest one) is 42 meV/atom. The total energy is -4.14 eV/atom. The value obtained for the size of the total moment is 0.014 Bohr magnetons per cell.